VASP calculation (PBE-GGA) on a relaxed Ho3Tl crystal. Values from VASP.

Calculated values
D(E_F) ... 5.75 states/eV/cell
ΔH_f (0 K) ... -0.0162 eV per atom
Space group ... Fm-3m, No. 225
Total DFT energy (no corrections) ... -16.164 eV/f.u.

Geometry as Quantum ESPRESSO input:
```
&SYSTEM
  ibrav = 0, nat = 4, ntyp = 2
/
ATOMIC_SPECIES
Tl 204.38 Tl.upf
Ho 164.93 Ho.upf
CELL_PARAMETERS angstrom
-2.386 1.719 4.578
-0.811 -3.468 4.113
2.911 0.474 4.572
ATOMIC_POSITIONS crystal
Tl 0.500 0.500 0.500
Ho 0.000 0.000 0.000
Ho 0.750 0.750 0.750
Ho 0.250 0.250 0.250
```